(1)
Here is a relaxed ScCl3 crystal from the Alexandria database. Energies are from PBE-GGA.

CIF file:
```
data_ScCl3
_cell_length_a 10.482
_cell_length_b 13.548
_cell_length_c 3.353
_cell_angle_alpha 90.00
_cell_angle_beta 90.00
_cell_angle_gamma 90.00
_space_group_name_H-M_alt 'C m c m'
_space_group_IT_number 63
_space_group_name_Hall '-C 2c 2'
loop_
_atom_site_label
_atom_site_type_symbol
_atom_site_fract_x
_atom_site_fract_y
_atom_site_fract_z
_atom_site_occupancy
Sc1 Sc 0.000 0.212 0.250 1
Cl1 Cl 0.000 0.350 0.750 1
Cl2 Cl 0.154 0.141 0.750 1
```



(2)
Here is a relaxed Sc2Cl crystal from the Alexandria database. Energies are from PBE-GGA.

CIF file:
```
data_Sc2Cl
_cell_length_a 15.034
_cell_length_b 3.264
_cell_length_c 6.364
_cell_angle_alpha 90.00
_cell_angle_beta 101.47
_cell_angle_gamma 90.00
_space_group_name_H-M_alt 'C 1 2/m 1'
_space_group_IT_number 12
loop_
_space_group_symop_operation_xyz
'x,y,z'
'-x,-y,-z'
'-x,y,-z'
'x,-y,z'
'x+1/2,y+1/2,z'
'-x+1/2,-y+1/2,-z'
'-x+1/2,y+1/2,-z'
'x+1/2,-y+1/2,z'
loop_
_atom_site_label
_atom_site_type_symbol
_atom_site_fract_x
_atom_site_fract_y
_atom_site_fract_z
_atom_site_occupancy
Sc1 Sc 0.171 0.000 0.090 1
Sc2 Sc 0.180 0.000 0.594 1
Cl1 Cl 0.069 0.500 0.787 1
```



(3)
Here is a relaxed ScCl3 crystal from the Alexandria database. Energies are from PBE-GGA.

CIF file:
```
data_ScCl3
_cell_length_a 3.5855
_cell_length_b 3.5855
_cell_length_c 28.4361
_cell_angle_alpha 90.00
_cell_angle_beta 90.00
_cell_angle_gamma 120.00
_space_group_name_H-M_alt 'R -3 m'
_space_group_IT_number 166
_space_group_name_Hall '-R 3 2"'
loop_
_atom_site_label
_atom_site_type_symbol
_atom_site_fract_x
_atom_site_fract_y
_atom_site_fract_z
_atom_site_occupancy
Sc1 Sc 0.0000 0.0000 0.0000 1
Cl1 Cl 0.0000 0.0000 0.3861 1
Cl2 Cl 0.0000 0.0000 0.5000 1
```



(4)
Here is a relaxed Sc2Cl crystal from the Alexandria database. Energies are from PBE-GGA.

CIF file:
```
data_Sc2Cl
_cell_length_a 3.229
_cell_length_b 3.229
_cell_length_c 12.540
_cell_angle_alpha 90.00
_cell_angle_beta 90.00
_cell_angle_gamma 90.00
_space_group_name_H-M_alt 'I 4/m m m'
_space_group_IT_number 139
_space_group_name_Hall '-I 4 2'
loop_
_atom_site_label
_atom_site_type_symbol
_atom_site_fract_x
_atom_site_fract_y
_atom_site_fract_z
_atom_site_occupancy
Sc1 Sc 0.000 0.000 0.164 1
Cl1 Cl 0.000 0.000 0.500 1
```



(5)
Here is a relaxed Sc3Cl crystal from the Alexandria database. Energies are from PBE-GGA.

CIF file:
```
data_Sc3Cl
_cell_length_a 5.676
_cell_length_b 5.676
_cell_length_c 5.676
_cell_angle_alpha 90.00
_cell_angle_beta 90.00
_cell_angle_gamma 90.00
_space_group_name_H-M_alt 'P m -3 n'
_space_group_IT_number 223
_space_group_name_Hall '-P 4n 2 3'
loop_
_atom_site_label
_atom_site_type_symbol
_atom_site_fract_x
_atom_site_fract_y
_atom_site_fract_z
_atom_site_occupancy
Sc1 Sc 0.000 0.250 0.500 1
Cl1 Cl 0.000 0.000 0.000 1
```



(6)
Here is a relaxed Sc2Cl crystal from the Alexandria database. Energies are from PBE-GGA.

CIF file:
```
data_Sc2Cl
_cell_length_a 3.4137
_cell_length_b 3.4137
_cell_length_c 6.3799
_cell_angle_alpha 90.00
_cell_angle_beta 90.00
_cell_angle_gamma 120.00
_space_group_name_H-M_alt 'P -3 m 1'
_space_group_IT_number 164
_space_group_name_Hall '-P 3 2"'
loop_
_atom_site_label
_atom_site_type_symbol
_atom_site_fract_x
_atom_site_fract_y
_atom_site_fract_z
_atom_site_occupancy
Sc1 Sc 0.3333 0.6667 0.3152 1
Cl1 Cl 0.0000 0.0000 0.0000 1
```



(7)
Here is a relaxed Sc2Cl crystal from the Alexandria database. Energies are from PBE-GGA.

CIF file:
```
data_Sc2Cl
_cell_length_a 5.2562
_cell_length_b 5.2562
_cell_length_c 3.0728
_cell_angle_alpha 90.00
_cell_angle_beta 90.00
_cell_angle_gamma 120.00
_space_group_name_H-M_alt 'P 6/m m m'
_space_group_IT_number 191
_space_group_name_Hall '-P 6 2'
loop_
_atom_site_label
_atom_site_type_symbol
_atom_site_fract_x
_atom_site_fract_y
_atom_site_fract_z
_atom_site_occupancy
Sc1 Sc 0.3333 0.6667 0.0000 1
Cl1 Cl 0.0000 0.0000 0.5000 1
```



(8)
Here is a relaxed Sc3Cl crystal from the Alexandria database. Energies are from PBE-GGA.

CIF file:
```
data_Sc3Cl
_cell_length_a 4.041
_cell_length_b 4.041
_cell_length_c 22.462
_cell_angle_alpha 90.00
_cell_angle_beta 90.00
_cell_angle_gamma 90.00
_space_group_name_H-M_alt 'I 4/m m m'
_space_group_IT_number 139
_space_group_name_Hall '-I 4 2'
loop_
_atom_site_label
_atom_site_type_symbol
_atom_site_fract_x
_atom_site_fract_y
_atom_site_fract_z
_atom_site_occupancy
Sc1 Sc 0.000 0.000 0.120 1
Sc2 Sc 0.000 0.500 0.000 1
Sc3 Sc 0.000 0.500 0.250 1
Cl1 Cl 0.000 0.000 0.333 1
```



(9)
Here is a relaxed ScCl3 crystal from the Alexandria database. Energies are from PBE-GGA.

CIF file:
```
data_ScCl3
_cell_length_a 4.306
_cell_length_b 4.306
_cell_length_c 4.306
_cell_angle_alpha 90.00
_cell_angle_beta 90.00
_cell_angle_gamma 90.00
_space_group_name_H-M_alt 'P m -3 m'
_space_group_IT_number 221
_space_group_name_Hall '-P 4 2 3'
loop_
_atom_site_label
_atom_site_type_symbol
_atom_site_fract_x
_atom_site_fract_y
_atom_site_fract_z
_atom_site_occupancy
Sc1 Sc 0.000 0.000 0.000 1
Cl1 Cl 0.000 0.500 0.500 1
```



(10)
Here is a relaxed Sc3Cl crystal from the Alexandria database. Energies are from PBE-GGA.

CIF file:
```
data_Sc3Cl
_cell_length_a 9.7709
_cell_length_b 9.7709
_cell_length_c 3.3277
_cell_angle_alpha 90.00
_cell_angle_beta 90.00
_cell_angle_gamma 120.00
_space_group_name_H-M_alt 'R -3 m'
_space_group_IT_number 166
_space_group_name_Hall '-R 3 2"'
loop_
_atom_site_label
_atom_site_type_symbol
_atom_site_fract_x
_atom_site_fract_y
_atom_site_fract_z
_atom_site_occupancy
Sc1 Sc 0.0000 0.5000 0.0000 1
Cl1 Cl 0.0000 0.0000 0.0000 1
```



(11)
# PBE-GGA ScCl5, optimized geometry
# Polymorph energy (0 for the lowest one), meV/atom: 484
data_ScCl5
_cell_length_a 5.922
_cell_length_b 3.611
_cell_length_c 13.274
_cell_angle_alpha 90.00
_cell_angle_beta 90.00
_cell_angle_gamma 90.00
_space_group_name_H-M_alt 'A m m 2'
_space_group_IT_number 38
loop_
_space_group_symop_operation_xyz
'x,y,z'
'-x,-y,z'
'-x,y,z'
'x,-y,z'
'x,y+1/2,z+1/2'
'-x,-y+1/2,z+1/2'
'-x,y+1/2,z+1/2'
'x,-y+1/2,z+1/2'
loop_
_atom_site_label
_atom_site_type_symbol
_atom_site_fract_x
_atom_site_fract_y
_atom_site_fract_z
_atom_site_occupancy
Sc1 Sc 0.000 0.000 0.000 1
Cl1 Cl 0.000 0.000 0.374 1
Cl2 Cl 0.000 0.000 0.626 1
Cl3 Cl 0.500 0.000 0.165 1
Cl4 Cl 0.500 0.000 0.495 1
Cl5 Cl 0.500 0.000 0.825 1



(12)
Here is a relaxed ScCl3 crystal from the Alexandria database. Energies are from PBE-GGA.

CIF file:
```
data_ScCl3
_cell_length_a 3.348
_cell_length_b 10.998
_cell_length_c 6.736
_cell_angle_alpha 90.00
_cell_angle_beta 90.00
_cell_angle_gamma 90.00
_space_group_name_H-M_alt 'P m m n'
_space_group_IT_number 59
loop_
_space_group_symop_operation_xyz
'x,y,z'
'-x,-y,-z'
'-x+1/2,-y+1/2,z'
'x+1/2,y+1/2,-z'
'x+1/2,-y,-z'
'-x+1/2,y,z'
'-x,y+1/2,-z'
'x,-y+1/2,z'
loop_
_atom_site_label
_atom_site_type_symbol
_atom_site_fract_x
_atom_site_fract_y
_atom_site_fract_z
_atom_site_occupancy
Sc1 Sc 0.250 0.250 0.095 1
Cl1 Cl 0.250 0.602 0.764 1
Cl2 Cl 0.250 0.750 0.184 1
```



(13)
Here is a relaxed Sc3Cl crystal from the Alexandria database. Energies are from PBE-GGA.

CIF file:
```
data_Sc3Cl
_cell_length_a 5.219
_cell_length_b 5.647
_cell_length_c 6.272
_cell_angle_alpha 90.00
_cell_angle_beta 90.00
_cell_angle_gamma 90.00
_space_group_name_H-M_alt 'P m m n'
_space_group_IT_number 59
loop_
_space_group_symop_operation_xyz
'x,y,z'
'-x,-y,-z'
'-x+1/2,-y+1/2,z'
'x+1/2,y+1/2,-z'
'x+1/2,-y,-z'
'-x+1/2,y,z'
'-x,y+1/2,-z'
'x,-y+1/2,z'
loop_
_atom_site_label
_atom_site_type_symbol
_atom_site_fract_x
_atom_site_fract_y
_atom_site_fract_z
_atom_site_occupancy
Sc1 Sc 0.250 0.000 0.132 1
Sc2 Sc 0.250 0.250 0.632 1
Cl1 Cl 0.250 0.750 0.773 1
```



(14)
Here is a relaxed Sc2Cl crystal from the Alexandria database. Energies are from PBE-GGA.

CIF file:
```
data_Sc2Cl
_cell_length_a 3.414
_cell_length_b 14.089
_cell_length_c 5.274
_cell_angle_alpha 90.00
_cell_angle_beta 90.00
_cell_angle_gamma 90.00
_space_group_name_H-M_alt 'C m c m'
_space_group_IT_number 63
_space_group_name_Hall '-C 2c 2'
loop_
_atom_site_label
_atom_site_type_symbol
_atom_site_fract_x
_atom_site_fract_y
_atom_site_fract_z
_atom_site_occupancy
Sc1 Sc 0.000 0.047 0.250 1
Sc2 Sc 0.000 0.362 0.250 1
Cl1 Cl 0.000 0.299 0.750 1
```



Number 1: uncorrected formation energy -2.04 eV/atom, total magnetic moment 0.00 μB per atom. Number 2: uncorrected formation energy -0.69 eV/atom, total magnetic moment 0.20 μB per atom. Number 3: uncorrected formation energy -1.30 eV/atom, total magnetic moment 0.13 μB per atom. Number 4: uncorrected formation energy -0.64 eV/atom, total magnetic moment 0.00 μB per atom. Number 5: uncorrected formation energy -0.05 eV/atom, total magnetic moment 0.40 μB per atom. Number 6: uncorrected formation energy -0.87 eV/atom, total magnetic moment 0.00 μB per atom. Number 7: uncorrected formation energy 0.25 eV/atom, total magnetic moment 0.71 μB per atom. Number 8: uncorrected formation energy -0.09 eV/atom, total magnetic moment 0.02 μB per atom. Number 9: uncorrected formation energy -0.96 eV/atom, total magnetic moment 0.00 μB per atom. Number 10: uncorrected formation energy -0.13 eV/atom, total magnetic moment 0.30 μB per atom. Number 11: uncorrected formation energy -0.88 eV/atom, total magnetic moment 0.00 μB per atom. Number 12: uncorrected formation energy -2.04 eV/atom, total magnetic moment 0.00 μB per atom. Number 13: uncorrected formation energy -0.08 eV/atom, total magnetic moment 0.00 μB per atom. Number 14: uncorrected formation energy -0.87 eV/atom, total magnetic moment 0.00 μB per atom.